Entry 1:
A relaxed structure of ScNbC2, computed with PBE.

ρ ... 4.39 Mg/m³
Magnetic moment ... 0.000 μB per formula unit
E_tot ... -8.773 eV/atom
Space-group type ... I-42d
E_form ... -0.06 eV per atom

Lattice parameters (Å, degrees): 5.0820 5.0820 5.9540 64.74 64.74 90.00
Positions (direct):
Sc (0.5000, 0.5000, 0.0000)
Sc (0.2500, 0.7500, 0.5000)
Nb (0.0000, 0.0000, 0.0000)
Nb (0.7500, 0.2500, 0.5000)
C (0.6534, 0.1250, 0.2500)
C (0.0966, 0.6250, 0.2500)
C (0.3750, 0.3466, 0.7500)
C (0.8750, 0.9034, 0.7500)



Entry 2:
A relaxed structure of ScNbC2, computed with PBE.

ρ ... 5.48 Mg/m³
Magnetic moment ... 0.000 μB per formula unit
E_tot ... -9.012 eV/atom
Space-group type ... R3m
E_form ... -0.30 eV per atom

Lattice parameters (Å, degrees): 3.1998 3.1998 5.8351 74.09 74.09 60.00
Positions (direct):
Sc (0.4957, 0.4957, 0.5129)
Nb (0.6702, 0.6702, 0.9894)
C (0.0776, 0.0776, 0.7671)
C (0.2565, 0.2565, 0.2305)



Entry 3:
A relaxed structure of ScNb3C4, computed with PBE.

ρ ... 6.66 Mg/m³
Magnetic moment ... 0.000 μB per formula unit
E_tot ... -9.744 eV/atom
Space-group type ... Cmmm
E_form ... -0.56 eV per atom

Lattice parameters (Å, degrees): 3.1932 5.5450 5.5450 70.76 90.00 90.00
Positions (direct):
Sc (0.5000, 0.5001, 0.0000)
Nb (0.5000, 0.0001, 0.5000)
Nb (0.9999, 0.0001, 0.0000)
Nb (0.0000, 0.5001, 0.5000)
C (0.0000, 0.7570, 0.7431)
C (0.4999, 0.7521, 0.2520)
C (0.0000, 0.2433, 0.2568)
C (0.5000, 0.2481, 0.7480)



Entry 4:
A relaxed structure of ScNb5C5, computed with PBE.

ρ ... 6.92 Mg/m³
Magnetic moment ... 0.000 μB per formula unit
E_tot ... -9.902 eV/atom
Space-group type ... C2/m
E_form ... -0.56 eV per atom

Lattice parameters (Å, degrees): 4.5264 5.5030 6.3553 106.95 90.00 114.28
Positions (direct):
Sc (0.0000, 0.0000, 0.0000)
Nb (0.6728, 0.3455, 0.3303)
Nb (0.6707, 0.3413, 0.8418)
Nb (0.0000, 0.0000, 0.5000)
Nb (0.3293, 0.6587, 0.1582)
Nb (0.3272, 0.6545, 0.6697)
C (0.8299, 0.6597, 0.1682)
C (0.8326, 0.6653, 0.6612)
C (0.5000, 0.0000, 0.0000)
C (0.1674, 0.3347, 0.3388)
C (0.1701, 0.3403, 0.8318)



Entry 5:
A relaxed structure of Sc4NbC4, computed with PBE.

ρ ... 4.25 Mg/m³
Magnetic moment ... 0.000 μB per formula unit
E_tot ... -8.447 eV/atom
Space-group type ... I4/m
E_form ... -0.41 eV per atom

Lattice parameters (Å, degrees): 4.6814 5.6810 5.6791 80.24 65.66 65.67
Positions (direct):
Sc (0.6076, 0.5832, 0.2016)
Sc (0.3924, 0.4168, 0.7984)
Sc (0.1908, 0.2016, 0.4167)
Sc (0.8092, 0.7984, 0.5833)
Nb (0.0000, 0.0000, 0.0000)
C (0.9054, 0.3774, 0.8118)
C (0.0946, 0.6226, 0.1882)
C (0.2829, 0.8117, 0.6225)
C (0.7171, 0.1883, 0.3775)



Entry 6:
A relaxed structure of Sc2NbC, computed with PBE.

ρ ... 4.12 Mg/m³
Magnetic moment ... 0.000 μB per formula unit
E_tot ... -6.931 eV/atom
Space-group type ... R-3m
E_form ... 1.06 eV per atom

Lattice parameters (Å, degrees): 9.3214 9.3214 9.3214 19.45 19.45 19.45
Positions (direct):
Sc (0.9222, 0.9222, 0.9222)
Sc (0.0778, 0.0778, 0.0778)
Nb (0.5000, 0.5000, 0.5000)
C (0.0000, 0.0000, 0.0000)



Entry 7:
A relaxed structure of Sc2NbC, computed with PBE.

ρ ... 4.42 Mg/m³
Magnetic moment ... 0.001 μB per formula unit
E_tot ... -7.918 eV/atom
Space-group type ... R-3m
E_form ... 0.07 eV per atom

Lattice parameters (Å, degrees): 8.6546 8.6546 8.6546 21.05 21.05 21.05
Positions (direct):
Sc (0.8830, 0.8830, 0.8830)
Sc (0.1170, 0.1170, 0.1170)
Nb (0.0000, 0.0000, 0.0000)
C (0.5000, 0.5000, 0.5000)



Entry 8:
A relaxed structure of Sc3NbC3, computed with PBE.

ρ ... 4.37 Mg/m³
Magnetic moment ... 0.000 μB per formula unit
E_tot ... -8.526 eV/atom
Space-group type ... Cmcm
E_form ... -0.42 eV per atom

Lattice parameters (Å, degrees): 4.7182 6.5197 6.5197 92.05 90.00 90.00
Positions (direct):
Sc (0.2500, 0.6217, 0.8692)
Sc (0.2500, 0.1308, 0.3783)
Sc (0.2500, 0.1145, 0.8855)
Sc (0.7500, 0.3783, 0.1308)
Sc (0.7500, 0.8692, 0.6217)
Sc (0.7500, 0.8855, 0.1145)
Nb (0.7500, 0.3493, 0.6507)
Nb (0.2500, 0.6507, 0.3493)
C (0.7500, 0.6115, 0.8556)
C (0.7500, 0.1443, 0.3885)
C (0.7500, 0.1337, 0.8663)
C (0.2500, 0.3885, 0.1444)
C (0.2500, 0.8557, 0.6115)
C (0.2500, 0.8663, 0.1337)



Entry 9:
A relaxed structure of Sc2NbC, computed with PBE.

ρ ... 4.36 Mg/m³
Magnetic moment ... 0.000 μB per formula unit
E_tot ... -7.856 eV/atom
Space-group type ... I-42d
E_form ... 0.13 eV per atom

Lattice parameters (Å, degrees): 8.2822 8.2822 6.2430 48.45 48.45 90.00
Positions (direct):
Sc (0.4887, 0.1250, 0.2500)
Sc (0.2613, 0.6250, 0.2500)
Sc (0.3750, 0.5113, 0.7500)
Sc (0.8750, 0.7387, 0.7500)
Nb (0.0000, 0.0000, 0.0000)
Nb (0.7500, 0.2500, 0.5000)
C (0.5000, 0.5000, 0.0000)
C (0.2500, 0.7500, 0.5000)



Entry 10:
A relaxed structure of ScNb3C3, computed with PBE.

ρ ... 6.13 Mg/m³
Magnetic moment ... 0.000 μB per formula unit
E_tot ... -9.281 eV/atom
Space-group type ... R-3
E_form ... -0.11 eV per atom

Lattice parameters (Å, degrees): 6.4249 6.4249 6.5936 60.84 60.84 60.00
Positions (direct):
Sc (0.3272, 0.3272, 0.0184)
Sc (0.6728, 0.6728, 0.9816)
Nb (0.3797, 0.8245, 0.6697)
Nb (0.8245, 0.1260, 0.6697)
Nb (0.1260, 0.3797, 0.6697)
Nb (0.8740, 0.6203, 0.3303)
Nb (0.1755, 0.8740, 0.3303)
Nb (0.6203, 0.1755, 0.3303)
C (0.2912, 0.5218, 0.2620)
C (0.9250, 0.2912, 0.2620)
C (0.5218, 0.9250, 0.2620)
C (0.4782, 0.0750, 0.7380)
C (0.0750, 0.7088, 0.7380)
C (0.7088, 0.4782, 0.7380)



Entry 11:
A relaxed structure of Sc2Nb2C3, computed with PBE.

ρ ... 5.35 Mg/m³
Magnetic moment ... 0.000 μB per formula unit
E_tot ... -9.132 eV/atom
Space-group type ... C2/m
E_form ... -0.49 eV per atom

Lattice parameters (Å, degrees): 3.3231 5.5300 6.0507 114.22 105.94 90.00
Positions (direct):
Sc (0.6252, 0.2940, 0.2504)
Sc (0.3748, 0.7060, 0.7496)
Nb (0.8654, 0.1743, 0.7307)
Nb (0.1346, 0.8257, 0.2693)
C (0.0000, 0.0000, 0.0000)
C (0.7323, 0.7512, 0.4645)
C (0.2677, 0.2488, 0.5355)



Entry 12:
A relaxed structure of ScNbC, computed with PBE.

Energy above the most stable polymorph in this dataset ... 0.34 eV/f.u.
ρ ... 5.34 Mg/m³
Magnetic moment ... 0.279 μB per formula unit
E_tot ... -8.942 eV/atom
Space-group type ... P3m1
E_form ... -0.40 eV per atom

Lattice parameters (Å, degrees): 5.2373 3.2063 3.2063 120.00 90.00 90.00
Each line ends with the local moment (μB).
Positions (direct):
Sc (0.5795, 0.6667, 0.3333)  0.10
Nb (0.1017, 0.0000, 0.0000)  0.07
C (0.3188, 0.3333, 0.6667)  0.00



Copy entry 3 word for word.
A relaxed structure of ScNb3C4, computed with PBE.

ρ ... 6.66 Mg/m³
Magnetic moment ... 0.000 μB per formula unit
E_tot ... -9.744 eV/atom
Space-group type ... Cmmm
E_form ... -0.56 eV per atom

Lattice parameters (Å, degrees): 3.1932 5.5450 5.5450 70.76 90.00 90.00
Positions (direct):
Sc (0.5000, 0.5001, 0.0000)
Nb (0.5000, 0.0001, 0.5000)
Nb (0.9999, 0.0001, 0.0000)
Nb (0.0000, 0.5001, 0.5000)
C (0.0000, 0.7570, 0.7431)
C (0.4999, 0.7521, 0.2520)
C (0.0000, 0.2433, 0.2568)
C (0.5000, 0.2481, 0.7480)



Question: Look up the ρ of the sixth one.
Answer: 4.12 Mg/m³



Question: Number 11 is which compound?
Answer: Sc2Nb2C3



Question: Which of these has the lowest ρ?
Answer: number 6